Here is a relaxed structure of TbTi2Cr from the Alexandria database. Energies are from PBE.

Its energy of formation is 0.158 eV/atom. The value obtained for the density of states at the Fermi level is 1.46 states/eV per atom. The calculation puts the polymorph energy (0 for the lowest one) at 0.0000 eV per atom.

It has space group P4/mmm (No. 123), with a = 3.130 Å, b = 3.130 Å, c = 7.687 Å, α = 90.00°, β = 90.00° and γ = 90.00°. The distinct sites, in fractional coordinates, are Tb at (0.000, 0.000, 0.000), Ti at (0.500, 0.500, 0.321) and Cr at (0.000, 0.000, 0.500).

Here is a relaxed structure of ReSbBr2 from the Alexandria database. Energies are from PBE.

The value obtained for the density of states at the Fermi level is 1.25 states/eV per atom. The calculation puts the polymorph energy (0 for the lowest one) at 0.4620 eV per atom.

It has space group P4mm (No. 99), with a = 3.632 Å, b = 3.632 Å, c = 7.986 Å, α = 90.00°, β = 90.00° and γ = 90.00°. The distinct sites, in fractional coordinates, are Re at (0.000, 0.000, 0.000), Sb at (0.500, 0.500, 0.107), Br at (0.000, 0.000, 0.344) and Br at (0.500, 0.500, 0.741).

Here is a relaxed structure of TcN2F2 from the Alexandria database. Energies are from PBE.

The value obtained for the density of states at the Fermi level is 0.37 states/eV per atom. The calculation puts the polymorph energy (0 for the lowest one) at 0.0000 eV per atom.

It has space group P4/mmm (No. 123), with a = 3.828 Å, b = 3.828 Å, c = 3.987 Å, α = 90.00°, β = 90.00° and γ = 90.00°. The distinct sites, in fractional coordinates, are Tc at (0.000, 0.000, 0.000), N at (0.000, 0.500, 0.000), F at (0.000, 0.000, 0.500) and F at (0.500, 0.500, 0.500).

Here is a relaxed structure of MgTiP3 from the Alexandria database. Energies are from PBE.

Its energy of formation is 0.069 eV/atom. The value obtained for the density of states at the Fermi level is 0.67 states/eV per atom. The calculation puts the polymorph energy (0 for the lowest one) at 0.0000 eV per atom.

It has space group Pm-3m (No. 221), with a = 4.694 Å, b = 4.694 Å, c = 4.694 Å, α = 90.00°, β = 90.00° and γ = 90.00°. The distinct sites, in fractional coordinates, are Mg at (0.000, 0.000, 0.000), Ti at (0.500, 0.500, 0.500) and P at (0.000, 0.500, 0.500).

| no. | total energy (eV/cell) |
| --- | --- |
| 1 | -29.411 |
| 2 | -17.111 |
| 3 | -30.482 |
| 4 | -25.375 |